(1)
Computed, not measured: a geometry-optimized Li2MgSnAu4 structure at the PBE level of DFT.

```
Li2MgSnAu4
1.0
4.6040 0.0000 0.0000
2.3020 3.9872 0.0000
2.3020 1.3291 7.7003
Mg Au Sn Li
1 4 1 2
direct
0.5000 0.5000 0.5000
0.3818 0.3818 0.8545
0.6182 0.6182 0.1455
0.8712 0.8712 0.3866
0.1288 0.1288 0.6135
0.0000 0.0000 0.0000
0.7504 0.7504 0.7488
0.2496 0.2496 0.2512
```

Results
SG = R-3m (166)
calculated formation energy = -3.914 eV per formula unit



(2)
Computed, not measured: a geometry-optimized Np2PaTl2Se6 structure at the PBE level of DFT.

```
Np2PaTl2Se6
1.0
-2.0719 5.1745 4.6060
4.2038 -5.4135 2.3034
5.6548 4.2569 -4.1626
Np Se Tl Pa
2 6 2 1
direct
0.3335 0.6665 0.5000
0.6665 0.3335 0.5000
0.2571 0.2571 0.2961
0.0681 0.3955 0.7024
0.9319 0.6045 0.2976
0.6045 0.9319 0.2976
0.3955 0.0681 0.7024
0.7429 0.7429 0.7039
0.8315 0.1685 0.0000
0.1685 0.8315 0.0000
0.0000 0.0000 0.5000
```

Results
SG = C2/m (12)
uncorrected formation energy = -100.0 kJ/mol of atoms



(3)
Computed, not measured: a geometry-optimized NbSn2Ge structure at the PBE level of DFT.

```
NbSn2Ge
1.0
6.5117 0.0000 0.0000
0.0000 6.5117 0.0000
3.2558 3.2558 5.9494
Ge Sn Nb
2 4 2
direct
0.5000 0.5000 0.0000
0.2500 0.7500 0.5000
0.1313 0.6250 0.2500
0.6187 0.1250 0.2500
0.8750 0.8687 0.7500
0.3750 0.3813 0.7500
0.7500 0.2500 0.5000
0.0000 0.0000 0.0000
```

Results
SG = I-42d (122)
calculated formation energy = 3.052 eV per formula unit



(4)
Computed, not measured: a geometry-optimized CoAgP2 structure at the PBE level of DFT.

```
CoAgP2
1.0
-3.7640 -0.4763 0.5109
-2.0293 -3.1407 0.8208
-0.3118 0.4370 5.5029
Co Ag P
1 1 2
direct
0.2500 0.2500 0.2500
0.7500 0.7500 0.7500
0.5250 0.5250 0.4139
0.9750 0.9750 0.0861
```

Results
SG = C2/m (12)
distance to the lowest polymorph of the same formula = 2.9 meV/atom
calculated formation energy = 0.163 eV per formula unit



(5)
Computed, not measured: a geometry-optimized PrSn3Pt structure at the PBE level of DFT.

```
PrSn3Pt
1.0
6.4627 0.0000 0.0000
0.0000 8.7390 0.0000
0.0000 0.0000 9.3430
Sn Pt Pr
12 4 4
direct
0.3240 0.0928 0.7500
0.3158 0.2823 0.4183
0.6842 0.7177 0.9183
0.1842 0.7823 0.9183
0.1760 0.5928 0.2500
0.6760 0.9072 0.2500
0.8158 0.2177 0.4183
0.6842 0.7177 0.5817
0.1842 0.7823 0.5817
0.3158 0.2823 0.0817
0.8240 0.4072 0.7500
0.8158 0.2177 0.0817
0.5000 0.0000 0.5000
0.5000 0.0000 0.0000
0.0000 0.5000 0.0000
0.0000 0.5000 0.5000
0.1696 0.9629 0.2500
0.3304 0.4629 0.7500
0.6696 0.5371 0.2500
0.8304 0.0371 0.7500
```

Results
SG = Pnma (62)
calculated formation energy = -2.508 eV per formula unit



(6)
Computed, not measured: a geometry-optimized YHgCl4 structure at the PBE level of DFT.

```
YHgCl4
1.0
-1.4651 1.5870 5.4718
-4.7905 3.2862 0.9264
-4.7314 -2.3591 2.5796
Y Cl Hg
1 4 1
direct
0.0000 0.0000 0.0000
0.3744 0.3744 0.3744
0.8768 0.3744 0.3744
0.3744 0.8768 0.3744
0.3744 0.3744 0.8768
0.7500 0.7500 0.7500
```

Results
SG = F-43m (216)
uncorrected formation energy = -35.2 kJ/mol of atoms



(7)
Computed, not measured: a geometry-optimized TaMn2Hg structure at the PBE level of DFT.

```
TaMn2Hg
1.0
7.1112 0.0000 0.0000
0.0000 7.1112 0.0000
3.5556 3.5556 2.8050
Hg Ta Mn
2 2 4
direct
0.0000 0.0000 0.0000
0.7500 0.2500 0.5000
0.5000 0.5000 0.0000
0.2500 0.7500 0.5000
0.3750 0.3917 0.7500
0.8750 0.8583 0.7500
0.6083 0.1250 0.2500
0.1417 0.6250 0.2500
```

Results
SG = I-42d (122)
calculated formation energy = 3.009 eV per formula unit



(8)
Computed, not measured: a geometry-optimized PmThAgRh structure at the PBE level of DFT.

```
PmThAgRh
1.0
5.1410 0.0000 0.0000
2.5705 4.4523 0.0000
2.5705 1.4841 4.1976
Rh Pm Ag Th
1 1 1 1
direct
0.7500 0.7500 0.7500
0.5000 0.5000 0.5000
0.2500 0.2500 0.2500
0.0000 0.0000 0.0000
```

Results
SG = F-43m (216)
calculated formation energy = -1.608 eV per formula unit



(9)
Computed, not measured: a geometry-optimized Rb3CaSc2Te6 structure at the PBE level of DFT.

```
Rb3CaSc2Te6
1.0
7.6172 -0.0022 -0.0012
-3.8086 6.5967 -0.0012
-1.2718 -2.2020 8.6107
Rb Te Sc Ca
3 6 2 1
direct
0.8394 0.1606 0.5000
0.5000 0.5000 0.5000
0.1606 0.8394 0.5000
0.0651 0.4189 0.1946
0.5811 0.9349 0.8054
0.7105 0.7105 0.1924
0.4189 0.0651 0.1946
0.2895 0.2895 0.8076
0.9349 0.5811 0.8054
0.3327 0.6673 0.0000
0.6673 0.3327 0.0000
0.0000 0.0000 0.0000
```

Results
SG = C2/m (12)
uncorrected formation energy = -115.4 kJ/mol of atoms



(10)
Computed, not measured: a geometry-optimized Zr2CuNiH structure at the PBE level of DFT.

```
Zr2CuNiH
1.0
4.5021 0.0000 0.0000
0.0000 4.5021 0.0000
0.0000 0.0000 3.4672
H Zr Ni Cu
1 2 1 1
direct
0.0000 0.0000 0.0000
0.5000 0.0000 0.0000
0.0000 0.5000 0.0000
0.0000 0.0000 0.5000
0.5000 0.5000 0.5000
```

Results
SG = P4/mmm (123)
distance to the lowest polymorph of the same formula = 0.0 meV/atom



Number 1: N(E_F) 2.03 states/eV per cell, calculated density 11.1 Mg/m³, calculated total energy -0.24299 Ry per atom. Number 2: N(E_F) 23.92 states/eV per cell, calculated density 7.4 Mg/m³, calculated total energy -0.48384 Ry per atom. Number 3: N(E_F) 5.69 states/eV per cell, calculated density 5.3 Mg/m³, calculated total energy -0.36089 Ry per atom. Number 4: N(E_F) 2.59 states/eV per cell, calculated density 6.3 Mg/m³, calculated total energy -0.37877 Ry per atom. Number 5: N(E_F) 11.49 states/eV per cell, calculated density 8.7 Mg/m³, calculated total energy -0.37244 Ry per atom. Number 6: N(E_F) 4.26 states/eV per cell, calculated density 5.0 Mg/m³, calculated total energy -0.20014 Ry per atom. Number 7: N(E_F) 6.75 states/eV per cell, calculated density 11.5 Mg/m³, calculated total energy -0.50501 Ry per atom. Number 8: N(E_F) 3.64 states/eV per cell, calculated density 10.2 Mg/m³, calculated total energy -0.44064 Ry per atom. Number 9: N(E_F) 6.82 states/eV per cell, calculated density 4.4 Mg/m³, calculated total energy -0.31098 Ry per atom. Number 10: N(E_F) 4.73 states/eV per cell, calculated density 7.2 Mg/m³, calculated total energy -0.46535 Ry per atom.